No. 1
This record from Alexandria via LeMat-Bulk describes crystalline Zr3Fe2Si at its relaxed geometry. The functional is GGA-PBE.

The structure in CIF format:
```
data_Zr3Fe2Si
_chemical_formula_sum 'Zr6 Fe4 Si2'
_symmetry_space_group_name_H-M 'P 63/m m c'
_symmetry_Int_Tables_number 194
_symmetry_space_group_name_Hall '-P 6c 2c'
_cell_length_a 6.5799
_cell_length_b 6.5799
_cell_length_c 6.3204
_cell_angle_alpha 90.00
_cell_angle_beta 90.00
_cell_angle_gamma 120.00
loop_
_atom_site_label
_atom_site_type_symbol
_atom_site_fract_x
_atom_site_fract_y
_atom_site_fract_z
_atom_site_occupancy
Zr1 Zr 0.1776 0.3551 0.2500 1
Fe1 Fe 0.3333 0.6667 0.5802 1
Si1 Si 0.0000 0.0000 0.0000 1
```

***

No. 2
This record from Alexandria via LeMat-Bulk describes crystalline ZrFeSi2 at its relaxed geometry. The functional is GGA-PBE.

The structure in CIF format:
```
data_ZrFeSi2
_chemical_formula_sum 'Zr2 Fe2 Si4'
_symmetry_space_group_name_H-M 'I -4 m 2'
_symmetry_Int_Tables_number 119
_symmetry_space_group_name_Hall 'I -4 -2'
_cell_length_a 3.7558
_cell_length_b 3.7558
_cell_length_c 8.5912
_cell_angle_alpha 90.00
_cell_angle_beta 90.00
_cell_angle_gamma 90.00
loop_
_atom_site_label
_atom_site_type_symbol
_atom_site_fract_x
_atom_site_fract_y
_atom_site_fract_z
_atom_site_occupancy
Zr1 Zr 0.0000 0.0000 0.0000 1
Fe1 Fe 0.0000 0.5000 0.7500 1
Si1 Si 0.0000 0.0000 0.5000 1
Si2 Si 0.0000 0.5000 0.2500 1
```

***

Asked for density across the records above, the calculation gives 5.79, 5.57 g/cm3 in order.
Asked for ΔE_f (raw) across the records above, the calculation gives 243, -288 meV/atom in order.